1.
DFT (GGA-PBE) results for crystalline PmNdBeN2 at its relaxed geometry.

It has space group Pccm (No. 49), with a = 5.120 Å, b = 5.161 Å, c = 6.814 Å, α = 90.00°, β = 90.00° and γ = 90.00°. Symmetry generates all atoms from Pm at (0.000, 0.000, 0.250), Nd at (0.500, 0.500, 0.250), Be at (0.500, 0.000, 0.000) and N at (0.282, 0.212, 0.000).

The formation energy (no corrections) is -828 meV per atom. The total energy comes out at -6.807 eV/atom.

2.
DFT (GGA-PBE) results for crystalline PrNdBeN2 at its relaxed geometry.

It has space group Pccm (No. 49), with a = 5.154 Å, b = 5.197 Å, c = 6.906 Å, α = 90.00°, β = 90.00° and γ = 90.00°. Symmetry generates all atoms from Pr at (0.000, 0.000, 0.250), Nd at (0.500, 0.500, 0.250), Be at (0.000, 0.500, 0.000) and N at (0.216, 0.290, 0.000).

The formation energy (no corrections) is -803 meV per atom. The total energy comes out at -6.788 eV/atom.

3.
DFT (GGA-PBE) results for crystalline NdPuBeN3 at its relaxed geometry.

It has space group P2_1/m (No. 11), with a = 6.947 Å, b = 3.361 Å, c = 7.174 Å, α = 90.00°, β = 100.52° and γ = 90.00°. Symmetry generates all atoms from Nd at (0.215, 0.250, 0.173), Pu at (0.181, 0.250, 0.658), Be at (0.403, 0.750, 0.925), N at (0.145, 0.750, 0.424), N at (0.153, 0.750, 0.878) and N at (0.491, 0.250, 0.842).

The formation energy (no corrections) is -1159 meV per atom. The total energy comes out at -9.126 eV/atom.

4.
DFT (GGA-PBE) results for crystalline NdBeRhN at its relaxed geometry.

It has space group P4/nmm (No. 129, origin choice 2), with a = 3.770 Å, b = 3.770 Å, c = 8.162 Å, α = 90.00°, β = 90.00° and γ = 90.00°. Symmetry generates all atoms from Nd at (0.250, 0.250, 0.161), Be at (0.250, 0.250, 0.669), Rh at (0.250, 0.750, 0.500) and N at (0.250, 0.250, 0.866).

The formation energy (no corrections) is -963 meV per atom. The total energy comes out at -7.005 eV/atom.

5.
DFT (GGA-PBE) results for crystalline NdBe2SiN4 at its relaxed geometry.

It has space group I-42m (No. 121), with a = 4.846 Å, b = 4.846 Å, c = 7.098 Å, α = 90.00°, β = 90.00° and γ = 90.00°. Symmetry generates all atoms from Nd at (0.000, 0.000, 0.000), Be at (0.000, 0.500, 0.250), Si at (0.000, 0.000, 0.500) and N at (0.197, 0.197, 0.655).

The formation energy (no corrections) is -824 meV per atom. The total energy comes out at -7.192 eV/atom.

6.
DFT (GGA-PBE) results for crystalline NdSmBeN2 at its relaxed geometry.

It has space group Pccm (No. 49), with a = 5.097 Å, b = 5.170 Å, c = 6.774 Å, α = 90.00°, β = 90.00° and γ = 90.00°. Symmetry generates all atoms from Nd at (0.000, 0.000, 0.250), Sm at (0.500, 0.500, 0.250), Be at (0.000, 0.500, 0.000) and N at (0.221, 0.290, 0.000).

The formation energy (no corrections) is -834 meV per atom. The total energy comes out at -6.806 eV/atom.